1.
Crystalline Hf2AsAu2 at its relaxed geometry, computed with GGA-PBE.

**Energy relative to the lowest polymorph listed for this composition**: 0.00 eV per formula unit
**DFT formation energy**: -478 meV per atom

Cell and atoms, written as extended XYZ:
```
10
Lattice="7.0618 0.0000 0.0000 0.0000 7.0618 0.0000 0.0000 0.0000 4.1590" Properties=species:S:1:pos:R:3 pbc="T T T"
Hf 1.1486 2.3823 0.0000
Hf 2.3823 5.9132 0.0000
Hf 4.6795 1.1486 0.0000
Hf 5.9132 4.6795 0.0000
As 0.0000 0.0000 0.0000
As 3.5309 3.5309 0.0000
Au 0.9845 4.5154 2.0795
Au 2.5464 0.9845 2.0795
Au 4.5154 6.0773 2.0795
Au 6.0773 2.5464 2.0795
```

***

2.
Crystalline Sc6Ga3Ag at its relaxed geometry, computed with GGA-PBE.

**Energy relative to the lowest polymorph listed for this composition**: 0.00 eV per formula unit
**DFT formation energy**: -416 meV per atom

Cell and atoms, written as extended XYZ:
```
20
Lattice="8.4742 0.0000 0.0000 0.0000 4.8035 0.0000 -3.3291 0.0000 9.9704" Properties=species:S:1:pos:R:3 pbc="T T T"
Sc -1.0200 1.2009 4.1217
Sc 0.7214 3.6026 1.7458
Sc -1.2443 1.2009 9.9498
Sc 0.1479 3.6026 7.9509
Sc 1.9872 1.2009 3.3061
Sc 1.3016 1.2009 6.2002
Sc 3.8434 3.6026 3.7702
Sc 3.1579 3.6026 6.6643
Sc 4.9971 1.2009 2.0195
Sc 6.3893 3.6026 0.0206
Sc 4.4236 1.2009 8.2245
Sc 6.1650 3.6026 5.8487
Ga -2.6883 3.6026 8.7747
Ga -1.3344 1.2009 7.0845
Ga 0.8071 3.6026 4.7078
Ga 4.3379 1.2009 5.2626
Ga 6.4794 3.6026 2.8859
Ga 7.8334 1.2009 1.1957
Ag 3.4952 3.6026 1.0016
Ag 1.6498 1.2009 8.9687
```